# 1
# Nd2DyCdC

Nd2DyCdC after structural relaxation (PBE, Alexandria via LeMat-Bulk).

```
Nd2DyCdC
1.0
-1.005 3.248 -3.485
0.163 -3.760 -3.551
-5.060 -0.850 0.667
Nd C Dy Cd
2 1 1 1
Cartesian
-2.530 -0.425 0.334
0.082 -1.880 -1.775
0.000 0.000 0.000
-0.503 1.624 -1.743
-2.951 -0.681 -3.184
```

Calculated values
**Energy of formation from the pure elements**: -0.198 eV per atom
**Final energy**: -25.3 eV/f.u.
**Magnetization**: 0.0 Bohr magnetons per cell

---

# 2
# PmDy2CdC

PmDy2CdC after structural relaxation (PBE, Alexandria via LeMat-Bulk).

```
PmDy2CdC
1.0
-1.173 -4.886 1.091
4.204 -0.452 2.496
-2.276 1.462 4.098
Dy Pm C Cd
2 1 1 1
Cartesian
2.102 -0.226 1.248
-1.138 0.731 2.049
-0.587 -2.443 0.546
0.000 0.000 0.000
0.378 -1.938 3.843
```

Calculated values
**Energy of formation from the pure elements**: -0.261 eV per atom
**Final energy**: -25.4 eV/f.u.
**Magnetization**: 0.0 Bohr magnetons per cell

---

# 3
# PrDy2CdC

PrDy2CdC after structural relaxation (PBE, Alexandria via LeMat-Bulk).

```
PrDy2CdC
1.0
-0.064 -1.572 4.991
-1.826 -4.346 -1.392
4.563 -1.758 -0.495
Dy Pr Cd C
2 1 1 1
Cartesian
2.282 -0.879 -0.248
-0.913 -2.173 -0.696
-0.032 -0.786 2.495
1.337 -3.838 1.552
0.000 0.000 0.000
```

Calculated values
**Energy of formation from the pure elements**: -0.235 eV per atom
**Final energy**: -25.3 eV/f.u.
**Magnetization**: 0.0 Bohr magnetons per cell

---

# 4
# Dy2ScCdC

Dy2ScCdC after structural relaxation (PBE, Alexandria via LeMat-Bulk).

```
Dy2ScCdC
1.0
4.472 0.000 0.000
0.000 4.996 0.000
0.000 0.000 4.996
Sc C Cd Dy
1 1 1 2
Cartesian
2.236 0.000 0.000
0.000 0.000 0.000
2.236 2.498 2.498
0.000 2.498 0.000
0.000 0.000 2.498
```

Calculated values
**Energy of formation from the pure elements**: -0.370 eV per atom
**Final energy**: -27.5 eV/f.u.
**Magnetization**: 0.0 Bohr magnetons per cell

---

# 5
# DySc2CdC

DySc2CdC after structural relaxation (PBE, Alexandria via LeMat-Bulk).

```
DySc2CdC
1.0
4.965 0.000 0.000
0.000 4.567 0.000
0.000 0.000 4.567
Sc C Cd Dy
2 1 1 1
Cartesian
0.000 0.000 2.284
0.000 2.284 0.000
0.000 0.000 0.000
2.482 2.284 2.284
2.482 0.000 0.000
```

Calculated values
**Energy of formation from the pure elements**: -0.406 eV per atom
**Final energy**: -29.4 eV/f.u.
**Magnetization**: 0.0 Bohr magnetons per cell

---

# 6
# Tb2DyCdC

Tb2DyCdC after structural relaxation (PBE, Alexandria via LeMat-Bulk).

```
Tb2DyCdC
1.0
-2.967 3.844 -0.730
-3.839 -2.635 1.731
0.964 1.616 4.598
Tb Cd C Dy
2 1 1 1
Cartesian
-1.920 -1.317 0.866
0.482 0.808 2.299
-2.921 1.413 2.800
0.000 0.000 0.000
-1.483 1.922 -0.365
```

Calculated values
**Energy of formation from the pure elements**: -0.288 eV per atom
**Final energy**: -25.4 eV/f.u.
**Magnetization**: 0.1 Bohr magnetons per cell

---

# 7
# Dy2CdTcC

Dy2CdTcC after structural relaxation (PBE, Alexandria via LeMat-Bulk).

```
Dy2CdTcC
1.0
4.006 0.000 0.000
0.000 5.002 0.000
0.000 0.000 5.002
C Tc Cd Dy
1 1 1 2
Cartesian
0.000 0.000 0.000
2.003 0.000 0.000
2.003 2.501 2.501
0.000 2.501 0.000
0.000 0.000 2.501
```

Calculated values
**Energy of formation from the pure elements**: -0.313 eV per atom
**Final energy**: -31.3 eV/f.u.
**Magnetization**: 0.0 Bohr magnetons per cell

---

# 8
# DyTh2CdC

DyTh2CdC after structural relaxation (PBE, Alexandria via LeMat-Bulk).

```
DyTh2CdC
1.0
4.967 0.000 0.000
0.000 5.082 0.000
0.000 0.000 5.082
Th Cd Dy C
2 1 1 1
Cartesian
0.000 2.541 0.000
0.000 0.000 2.541
2.483 2.541 2.541
2.483 0.000 0.000
0.000 0.000 0.000
```

Calculated values
**Energy of formation from the pure elements**: -0.239 eV per atom
**Final energy**: -30.8 eV/f.u.
**Magnetization**: 0.0 Bohr magnetons per cell

---

# 9
# Dy2ThCdC

Dy2ThCdC after structural relaxation (PBE, Alexandria via LeMat-Bulk).

```
Dy2ThCdC
1.0
-0.506 4.802 1.491
-2.600 -1.498 3.942
4.188 -0.372 2.621
C Dy Cd Th
1 2 1 1
Cartesian
0.000 0.000 0.000
2.094 -0.186 1.311
-1.300 -0.749 1.971
0.541 1.466 4.027
-0.253 2.401 0.745
```

Calculated values
**Energy of formation from the pure elements**: -0.277 eV per atom
**Final energy**: -28.1 eV/f.u.
**Magnetization**: 0.0 Bohr magnetons per cell

---

# 10
# DyThCdC

DyThCdC after structural relaxation (PBE, Alexandria via LeMat-Bulk).

```
DyThCdC
1.0
-1.515 -3.029 -1.224
1.804 -0.022 3.115
-6.693 3.912 3.905
C Cd Th Dy
1 1 1 1
Cartesian
-5.218 2.449 4.695
-3.324 -1.484 1.492
1.359 -0.137 2.947
-5.181 1.143 2.585
```

Calculated values
**Energy of formation from the pure elements**: -0.269 eV per atom
**Final energy**: -23.2 eV/f.u.
**Magnetization**: 0.0 Bohr magnetons per cell

---

# 11
# DyY2CdC

DyY2CdC after structural relaxation (PBE, Alexandria via LeMat-Bulk).

```
DyY2CdC
1.0
4.942 0.000 0.000
0.000 4.940 0.000
0.000 0.000 4.940
C Dy Y Cd
1 1 2 1
Cartesian
0.000 0.000 0.000
2.471 0.000 0.000
0.000 2.470 0.000
0.000 0.000 2.470
2.471 2.470 2.470
```

Calculated values
**Energy of formation from the pure elements**: -0.322 eV per atom
**Final energy**: -29.3 eV/f.u.
**Magnetization**: 0.7 Bohr magnetons per cell

---

# 12
# Er3Cd3C

Er3Cd3C after structural relaxation (PBE, Alexandria via LeMat-Bulk).

```
Er3Cd3C
1.0
-1.572 -7.893 5.054
6.622 -3.179 6.029
-1.443 0.570 9.376
Er Cd C
12 12 4
Cartesian
2.128 -4.824 5.437
-0.297 -6.895 7.008
2.722 -1.843 3.528
-1.195 -6.541 12.843
2.177 -1.628 7.069
-0.217 -1.629 9.698
-0.918 -3.408 6.701
3.825 -8.874 10.760
4.803 -3.962 7.615
-0.324 -0.427 4.792
-0.373 -3.623 3.160
3.905 -3.607 13.450
3.714 -5.436 10.534
1.503 -4.375 8.521
1.021 -4.185 11.652
2.976 -6.849 8.098
3.007 -8.754 17.051
3.041 -2.618 10.259
0.796 -7.692 15.038
2.255 -6.564 12.786
-1.056 -4.975 9.772
3.489 -8.944 13.921
3.532 -6.119 15.364
0.978 -7.010 10.209
0.451 -1.313 2.557
-0.271 -1.028 7.245
3.762 -2.902 5.572
-0.335 -5.259 5.084
```

Calculated values
**Energy of formation from the pure elements**: -0.363 eV per atom
**Final energy**: -28.2 eV/f.u.
**Magnetization**: 0.0 Bohr magnetons per cell